Entry 1:
DFT (PBE) results for TbAsPb2O6 after structural relaxation.

Unit cell a=5.7492 b=5.7492 c=5.7492 alpha=120.36 beta=120.36 gamma=89.37
Positions (direct):
Pb (0.2500, 0.7500, 0.5000)
Pb (0.7500, 0.2500, 0.5000)
As (0.5000, 0.5000, 0.0000)
O (0.2358, 0.6892, 0.9250)
O (0.7642, 0.3108, 0.0750)
O (0.6892, 0.7642, 0.4534)
O (0.2724, 0.2724, 0.0000)
O (0.7276, 0.7276, 0.0000)
O (0.3108, 0.2358, 0.5466)
Tb (0.0000, 0.0000, 0.0000)

Values from the calculation:
DFT total energy, eV/atom: -6.404

Entry 2:
DFT (PBE) results for TcAsPbO after structural relaxation.

Unit cell a=3.8290 b=3.8290 c=10.8102 alpha=90.00 beta=90.00 gamma=90.00
Positions (direct):
Tc (0.7500, 0.2500, 0.5000)
Tc (0.2500, 0.7500, 0.5000)
As (0.2500, 0.2500, 0.6560)
As (0.7500, 0.7500, 0.3440)
O (0.7500, 0.2500, 0.0000)
O (0.2500, 0.7500, 0.0000)
Pb (0.7500, 0.7500, 0.8826)
Pb (0.2500, 0.2500, 0.1174)

Values from the calculation:
Relative energy among the computed polymorphs, eV per atom: 0.000

Entry 3:
DFT (PBE) results for TcAsPbO after structural relaxation.

Unit cell a=4.2179 b=4.2179 c=9.8707 alpha=90.00 beta=90.00 gamma=90.00
Positions (direct):
O (0.0000, 0.0000, 0.0000)
O (0.5000, 0.5000, 0.0000)
Pb (0.5000, 0.5000, 0.5000)
Pb (0.0000, 0.0000, 0.5000)
Tc (0.0000, 0.5000, 0.0377)
Tc (0.5000, 0.0000, 0.9623)
As (0.5000, 0.0000, 0.7330)
As (0.0000, 0.5000, 0.2670)

Values from the calculation:
Relative energy among the computed polymorphs, eV per atom: 0.489

Entry 4:
DFT (PBE) results for TcAsPbO after structural relaxation.

Unit cell a=3.3808 b=6.0750 c=8.0430 alpha=90.00 beta=90.00 gamma=90.00
Positions (direct):
Tc (0.0000, 0.1454, 0.4786)
Tc (0.0000, 0.8546, 0.9786)
Pb (0.5000, 0.7118, 0.5751)
Pb (0.5000, 0.2882, 0.0751)
As (0.0000, 0.8345, 0.2793)
As (0.0000, 0.1655, 0.7793)
O (0.5000, 0.7329, 0.9210)
O (0.5000, 0.2671, 0.4210)

Values from the calculation:
Relative energy among the computed polymorphs, eV per atom: 0.176

Entry 5:
DFT (PBE) results for TcAsPbO after structural relaxation.

Unit cell a=3.1562 b=7.9907 c=5.8285 alpha=90.00 beta=90.00 gamma=90.00
Positions (direct):
Tc (0.5000, 0.0019, 0.6224)
Tc (0.5000, 0.9981, 0.1224)
Pb (0.0000, 0.5823, 0.3846)
Pb (0.0000, 0.4177, 0.8846)
As (0.0000, 0.1772, 0.3724)
As (0.0000, 0.8228, 0.8724)
O (0.5000, 0.8232, 0.3746)
O (0.5000, 0.1768, 0.8746)

Values from the calculation:
Relative energy among the computed polymorphs, eV per atom: 0.052

Entry 6:
DFT (PBE) results for TmAsPbO after structural relaxation.

Unit cell a=4.2475 b=4.2475 c=9.5866 alpha=90.00 beta=90.00 gamma=90.00
Positions (direct):
As (0.7500, 0.7500, 0.2638)
As (0.2500, 0.2500, 0.7362)
Pb (0.2500, 0.7500, 0.5000)
Pb (0.7500, 0.2500, 0.5000)
O (0.7500, 0.2500, 0.0000)
O (0.2500, 0.7500, 0.0000)
Tm (0.7500, 0.7500, 0.9116)
Tm (0.2500, 0.2500, 0.0884)

Values from the calculation:
Relative energy among the computed polymorphs, eV per atom: 0.036

Entry 7:
DFT (PBE) results for TmAsPbO after structural relaxation.

Unit cell a=3.9204 b=9.0200 c=5.8634 alpha=90.00 beta=90.00 gamma=90.00
Positions (direct):
Pb (0.5000, 0.1398, 0.5199)
Pb (0.5000, 0.8602, 0.0199)
As (0.0000, 0.3446, 0.4153)
As (0.0000, 0.6554, 0.9153)
O (0.5000, 0.2471, 0.8953)
O (0.5000, 0.7529, 0.3953)
Tm (0.0000, 0.3400, 0.9235)
Tm (0.0000, 0.6600, 0.4235)

Values from the calculation:
Relative energy among the computed polymorphs, eV per atom: 0.000

Entry 8:
DFT (PBE) results for TmAsPb2O6 after structural relaxation.

Unit cell a=5.7319 b=5.6626 c=9.7892 alpha=90.00 beta=125.17 gamma=90.00
Positions (direct):
O (0.2745, 0.0011, 0.7292)
O (0.2020, 0.2691, 0.9732)
O (0.8000, 0.2658, 0.0258)
O (0.7255, 0.9989, 0.2708)
O (0.7980, 0.7309, 0.0268)
O (0.8000, 0.2342, 0.5258)
O (0.2000, 0.7342, 0.9742)
O (0.7979, 0.7691, 0.5268)
O (0.2745, 0.4989, 0.2292)
O (0.2020, 0.2309, 0.4732)
O (0.2000, 0.7658, 0.4742)
O (0.7255, 0.5011, 0.7708)
Tm (0.5000, 0.0000, 0.0000)
Tm (0.5000, 0.5000, 0.5000)
Pb (0.2375, 0.0000, 0.2457)
Pb (0.7625, 0.0000, 0.7543)
Pb (0.2375, 0.5000, 0.7457)
Pb (0.7625, 0.5000, 0.2543)
As (0.0000, 0.0000, 0.5000)
As (0.0000, 0.5000, 0.0000)

Values from the calculation:
DFT total energy, eV/atom: -6.422

Entry 9:
DFT (PBE) results for TmAsPbO after structural relaxation.

Unit cell a=4.7004 b=4.7004 c=8.3351 alpha=90.00 beta=90.00 gamma=90.00
Positions (direct):
As (0.2500, 0.2500, 0.6738)
As (0.7500, 0.7500, 0.3262)
Tm (0.2500, 0.7500, 0.5000)
Tm (0.7500, 0.2500, 0.5000)
Pb (0.2500, 0.2500, 0.0995)
Pb (0.7500, 0.7500, 0.9005)
O (0.2500, 0.7500, 0.0000)
O (0.7500, 0.2500, 0.0000)

Values from the calculation:
Relative energy among the computed polymorphs, eV per atom: 0.641

Entry 10:
DFT (PBE) results for TmAsPbO after structural relaxation.

Unit cell a=5.0755 b=6.5383 c=6.2897 alpha=90.00 beta=90.00 gamma=90.00
Positions (direct):
As (0.0000, 0.2135, 0.9249)
As (0.0000, 0.7865, 0.4249)
O (0.5000, 0.6278, 0.8661)
O (0.5000, 0.3722, 0.3661)
Pb (0.0000, 0.7615, 0.9297)
Pb (0.0000, 0.2385, 0.4297)
Tm (0.5000, 0.3520, 0.0333)
Tm (0.5000, 0.6480, 0.5333)

Values from the calculation:
Relative energy among the computed polymorphs, eV per atom: 0.034

Entry 11:
DFT (PBE) results for TmAsPb2O6 after structural relaxation.

Unit cell a=5.6899 b=5.6899 c=9.8393 alpha=106.36 beta=106.36 gamma=59.69
Positions (direct):
O (0.3599, 0.3433, 0.6179)
O (0.1735, 0.1190, 0.3686)
O (0.6567, 0.6401, 0.8821)
O (0.3433, 0.3599, 0.1179)
O (0.1199, 0.6511, 0.9060)
O (0.6401, 0.6567, 0.3821)
O (0.3489, 0.8801, 0.5940)
O (0.1190, 0.1735, 0.8686)
O (0.8810, 0.8265, 0.1314)
O (0.8801, 0.3489, 0.0940)
O (0.8265, 0.8810, 0.6314)
O (0.6511, 0.1199, 0.4060)
Pb (0.3666, 0.8903, 0.1251)
Pb (0.8903, 0.3666, 0.6251)
Pb (0.1097, 0.6334, 0.3749)
Pb (0.6334, 0.1097, 0.8749)
As (0.0000, 0.5000, 0.0000)
As (0.5000, 0.0000, 0.5000)
Tm (0.7482, 0.2518, 0.2500)
Tm (0.2518, 0.7482, 0.7500)

Values from the calculation:
DFT total energy, eV/atom: -6.423

Entry 12:
DFT (PBE) results for ZnAsPbO after structural relaxation.

Unit cell a=3.9496 b=3.9496 c=10.0570 alpha=90.00 beta=90.00 gamma=90.00
Positions (direct):
As (0.2500, 0.2500, 0.6611)
As (0.7500, 0.7500, 0.3389)
Zn (0.7500, 0.2500, 0.5000)
Zn (0.2500, 0.7500, 0.5000)
O (0.2500, 0.7500, 0.0000)
O (0.7500, 0.2500, 0.0000)
Pb (0.2500, 0.2500, 0.1228)
Pb (0.7500, 0.7500, 0.8772)

Values from the calculation:
Relative energy among the computed polymorphs, eV per atom: 0.031

Entry 13:
DFT (PBE) results for ZnAsPbO after structural relaxation.

Unit cell a=4.4096 b=4.4096 c=9.0695 alpha=90.00 beta=90.00 gamma=90.00
Positions (direct):
As (0.5000, 0.0000, 0.7000)
As (0.0000, 0.5000, 0.3000)
O (0.0000, 0.0000, 0.0000)
O (0.5000, 0.5000, 0.0000)
Pb (0.5000, 0.5000, 0.5000)
Pb (0.0000, 0.0000, 0.5000)
Zn (0.0000, 0.5000, 0.0042)
Zn (0.5000, 0.0000, 0.9958)

Values from the calculation:
Relative energy among the computed polymorphs, eV per atom: 0.365

Entry 14:
DFT (PBE) results for ZnAsPbO after structural relaxation.

Unit cell a=3.1513 b=6.9904 c=7.4496 alpha=90.00 beta=90.00 gamma=90.00
Positions (direct):
O (0.5000, 0.3430, 0.4116)
O (0.5000, 0.6570, 0.9116)
As (0.0000, 0.1232, 0.8028)
As (0.0000, 0.8768, 0.3028)
Pb (0.5000, 0.6259, 0.5701)
Pb (0.5000, 0.3741, 0.0701)
Zn (0.0000, 0.8188, 0.9695)
Zn (0.0000, 0.1812, 0.4695)

Values from the calculation:
Relative energy among the computed polymorphs, eV per atom: 0.019

Entry 15:
DFT (PBE) results for ZnAsPbO after structural relaxation.

Unit cell a=4.3856 b=6.6236 c=5.7789 alpha=90.00 beta=90.00 gamma=90.00
Positions (direct):
As (0.0000, 0.2286, 0.9250)
As (0.0000, 0.7714, 0.4250)
Zn (0.5000, 0.6202, 0.5221)
Zn (0.5000, 0.3798, 0.0221)
Pb (0.0000, 0.2107, 0.4349)
Pb (0.0000, 0.7893, 0.9349)
O (0.5000, 0.6495, 0.8720)
O (0.5000, 0.3505, 0.3720)

Values from the calculation:
Relative energy among the computed polymorphs, eV per atom: 0.000

Entry 16:
DFT (PBE) results for ZrAsPbO after structural relaxation.

Unit cell a=3.8764 b=5.5748 c=8.5443 alpha=90.02 beta=90.00 gamma=90.01
Positions (direct):
Pb (0.4998, 0.4887, 0.9016)
Pb (0.4998, 0.9889, 0.0987)
Zr (0.9997, 0.0829, 0.6432)
Zr (0.9997, 0.5829, 0.3572)
As (0.9998, 0.5886, 0.6720)
As (0.9998, 0.0888, 0.3285)
O (0.5000, 0.0835, 0.7162)
O (0.5000, 0.5837, 0.2842)

Values from the calculation:
Relative energy among the computed polymorphs, eV per atom: 0.002

Entry 17:
DFT (PBE) results for ZrAsPbO after structural relaxation.

Unit cell a=3.8638 b=8.7048 c=6.2716 alpha=90.00 beta=90.00 gamma=90.00
Positions (direct):
O (0.5000, 0.0137, 0.7792)
O (0.5000, 0.9863, 0.2792)
Pb (0.0000, 0.3311, 0.9794)
Pb (0.0000, 0.6689, 0.4794)
As (0.0000, 0.6599, 0.9810)
As (0.0000, 0.3401, 0.4810)
Zr (0.5000, 0.1368, 0.5144)
Zr (0.5000, 0.8632, 0.0144)

Values from the calculation:
Relative energy among the computed polymorphs, eV per atom: 0.000

Entry 18:
DFT (PBE) results for ZrAsPbO after structural relaxation.

Unit cell a=4.5033 b=4.5033 c=8.6547 alpha=90.00 beta=90.00 gamma=90.00
Positions (direct):
Pb (0.0000, 0.5000, 0.8891)
Pb (0.5000, 0.0000, 0.1109)
As (0.0000, 0.5000, 0.3345)
As (0.5000, 0.0000, 0.6655)
O (0.5000, 0.5000, 0.0000)
O (0.0000, 0.0000, 0.0000)
Zr (0.0000, 0.0000, 0.5000)
Zr (0.5000, 0.5000, 0.5000)

Values from the calculation:
Relative energy among the computed polymorphs, eV per atom: 0.469

Entry 19:
DFT (PBE) results for ZrAsPb2O6 after structural relaxation.

Unit cell a=4.9600 b=4.9985 c=5.7627 alpha=98.61 beta=98.11 gamma=103.51
Positions (direct):
O (0.7737, 0.7741, 0.2279)
O (0.2263, 0.2259, 0.7721)
O (0.2624, 0.7366, 0.0013)
O (0.3367, 0.3367, 0.2400)
O (0.6633, 0.6633, 0.7600)
O (0.7376, 0.2634, 0.9987)
Pb (0.2598, 0.7376, 0.4946)
Pb (0.7402, 0.2624, 0.5054)
As (0.5000, 0.5000, 0.0000)
Zr (0.0000, 0.0000, 0.0000)

Values from the calculation:
DFT total energy, eV/atom: -6.638

Entry 20:
DFT (PBE) results for ZrAsPbO after structural relaxation.

Unit cell a=4.1693 b=4.1693 c=9.3326 alpha=90.00 beta=90.00 gamma=90.00
Positions (direct):
O (0.0000, 0.0000, 0.0000)
O (0.5000, 0.5000, 0.0000)
Zr (0.5000, 0.0000, 0.0829)
Zr (0.0000, 0.5000, 0.9171)
As (0.0000, 0.5000, 0.2366)
As (0.5000, 0.0000, 0.7634)
Pb (0.5000, 0.5000, 0.5000)
Pb (0.0000, 0.0000, 0.5000)

Values from the calculation:
Relative energy among the computed polymorphs, eV per atom: 0.152